1.
First-principles (PBE-GGA) data for a relaxed Cs2KAs2Pb crystal, as listed in Alexandria via LeMat-Bulk.

a = 9.9957 Å, b = 9.9957 Å, c = 9.9957 Å
α = 134.11°, β = 64.88°, γ = 136.77°
With the nearest neighbours (Å) after each atom.
Fractional positions:
Cs (0.1783, 0.2381, 0.4163)  4 As 3.72-3.92, 2 Pb 3.98, 2 K 4.07
Cs (0.3217, 0.7381, 0.0598)  4 As 3.72-3.92, 2 Pb 3.98, 2 K 4.07
Cs (0.6783, 0.2619, 0.9402)  4 As 3.72-3.92, 2 Pb 3.98, 2 K 4.07
Cs (0.8217, 0.7619, 0.5837)  4 As 3.72-3.92, 2 Pb 3.98, 2 K 4.07
K (0.2500, 0.7500, 0.5000)  4 As 3.38, 2 K 3.68
K (0.7500, 0.2500, 0.5000)  4 As 3.38, 2 K 3.68
As (0.0992, 0.7927, 0.8919)  2 Pb 2.97
As (0.4008, 0.2927, 0.6934)  2 Pb 2.97
As (0.5992, 0.7073, 0.3066)  2 Pb 2.97
As (0.9008, 0.2073, 0.1081)  2 Pb 2.97
Pb (0.2500, 0.2500, 0.0000)  4 As 2.97
Pb (0.7500, 0.7500, 0.0000)  4 As 2.97

Computed properties:
- symmetry = Ibam (72)
- energy of formation (eV/atom) = -0.3532
- spin magnetization (Bohr magnetons per cell) = 0.00
- N(E_F) (states/eV/cell) = 7.19

=====

2.
First-principles (PBE-GGA) data for a relaxed K2HgMo crystal, as listed in Alexandria via LeMat-Bulk.

a = 8.7575 Å, b = 8.7575 Å, c = 8.7575 Å
α = 95.79°, β = 95.79°, γ = 142.98°
With the nearest neighbours (Å) after each atom.
Fractional positions:
K (0.3750, 0.2445, 0.3695)  2 Hg 3.33
K (0.7555, 0.1250, 0.1305)  2 Hg 3.33
K (0.8750, 0.0055, 0.6305)  2 Hg 3.33
K (0.9945, 0.6250, 0.8695)  2 Hg 3.33
Hg (0.0000, 0.0000, 0.0000)  2 Mo 2.78
Hg (0.7500, 0.2500, 0.5000)  2 Mo 2.78
Mo (0.2500, 0.7500, 0.5000)  2 Hg 2.78
Mo (0.5000, 0.5000, 0.0000)  2 Hg 2.78

Computed properties:
- symmetry = I-42d (122)
- energy of formation (eV/atom) = 1.0032
- spin magnetization (Bohr magnetons per cell) = 8.15
- N(E_F) (states/eV/cell) = 5.54

=====

3.
First-principles (PBE-GGA) data for a relaxed CrSbHI2 crystal, as listed in Alexandria via LeMat-Bulk.

a = 5.6012 Å, b = 5.6012 Å, c = 5.1899 Å
α = 90.00°, β = 90.00°, γ = 90.00°
With the nearest neighbours (Å) after each atom.
Fractional positions:
Cr (0.0000, 0.0000, 0.0000)  2 Sb 2.59, 4 I 2.80
Sb (0.0000, 0.0000, 0.5000)  2 Cr 2.59
H (0.5000, 0.5000, 0.5000)  8 I 3.82, 4 Sb 3.96
I (0.0000, 0.5000, 0.0000)  2 Cr 2.80
I (0.5000, 0.0000, 0.0000)  2 Cr 2.80

Computed properties:
- symmetry = P4/mmm (123)
- spin magnetization (Bohr magnetons per cell) = 3.46
- offset from the most stable computed form (eV per atom) = 0.054
- N(E_F) (states/eV/cell) = 3.71

=====

4.
First-principles (PBE-GGA) data for a relaxed Tb2SmAg crystal, as listed in Alexandria via LeMat-Bulk.

a = 3.6196 Å, b = 3.6196 Å, c = 8.8050 Å
α = 90.00°, β = 90.00°, γ = 90.00°
With the nearest neighbours (Å) after each atom.
Fractional positions:
Tb (0.0000, 0.0000, 0.2109)  4 Ag 3.16
Tb (0.0000, 0.0000, 0.7891)  4 Ag 3.16
Sm (0.5000, 0.5000, 0.5000)  8 Tb 3.61, 4 Sm 3.62
Ag (0.5000, 0.5000, 0.0000)  8 Tb 3.16

Computed properties:
- symmetry = P4/mmm (123)
- energy of formation (eV/atom) = -0.1304
- spin magnetization (Bohr magnetons per cell) = 0.00
- offset from the most stable computed form (eV per atom) = 0.000
- N(E_F) (states/eV/cell) = 5.03

=====

5.
First-principles (PBE-GGA) data for a relaxed CdPt crystal, as listed in Alexandria via LeMat-Bulk.

a = 2.9658 Å, b = 2.9658 Å, c = 4.6203 Å
α = 90.00°, β = 90.00°, γ = 120.00°
With the nearest neighbours (Å) after each atom.
Fractional positions:
Cd (0.0000, 0.0000, 0.0000)  6 Pt 2.88, 6 Cd 2.97
Pt (0.3333, 0.6667, 0.5000)  6 Cd 2.88, 6 Pt 2.97

Computed properties:
- symmetry = P-6m2 (187)
- energy of formation (eV/atom) = -0.1873
- spin magnetization (Bohr magnetons per cell) = 0.00
- N(E_F) (states/eV/cell) = 1.39

=====

6.
First-principles (PBE-GGA) data for a relaxed KRhPb2 crystal, as listed in Alexandria via LeMat-Bulk.

a = 6.5265 Å, b = 6.5265 Å, c = 6.5265 Å
α = 149.87°, β = 125.29°, γ = 63.73°
With the nearest neighbours (Å) after each atom.
Fractional positions:
K (0.0000, 0.0000, 0.0000)  2 K 3.39, 4 Rh 3.45, 8 Pb 3.71-3.77
Rh (0.5000, 0.5000, 0.0000)  4 Pb 2.76
Pb (0.3036, 0.8036, 0.5000)  2 Rh 2.76
Pb (0.6964, 0.1964, 0.5000)  2 Rh 2.76

Computed properties:
- symmetry = Immm (71)
- energy of formation (eV/atom) = 0.0452
- spin magnetization (Bohr magnetons per cell) = 0.00
- N(E_F) (states/eV/cell) = 3.87

=====

7.
First-principles (PBE-GGA) data for a relaxed Cs3Ac crystal, as listed in Alexandria via LeMat-Bulk.

a = 6.8633 Å, b = 6.8633 Å, c = 6.8633 Å
α = 90.00°, β = 90.00°, γ = 90.00°
With the nearest neighbours (Å) after each atom.
Fractional positions:
Cs (0.0000, 0.0000, 0.5000)  4 Ac 4.85, 8 Cs 4.85
Cs (0.0000, 0.5000, 0.0000)  4 Ac 4.85, 8 Cs 4.85
Cs (0.5000, 0.0000, 0.0000)  4 Ac 4.85, 8 Cs 4.85
Ac (0.5000, 0.5000, 0.5000)  12 Cs 4.85

Computed properties:
- symmetry = Pm-3m (221)
- energy of formation (eV/atom) = 0.4932
- spin magnetization (Bohr magnetons per cell) = 0.36
- N(E_F) (states/eV/cell) = 5.95

=====

8.
First-principles (PBE-GGA) data for a relaxed InAg2Au6 crystal, as listed in Alexandria via LeMat-Bulk.

a = 5.0818 Å, b = 5.0818 Å, c = 8.9072 Å
α = 105.09°, β = 105.09°, γ = 48.63°
With the nearest neighbours (Å) after each atom.
Fractional positions:
In (0.0000, 0.0000, 0.0000)  8 Au 2.92-2.98, 4 Ag 3.04
Ag (0.3264, 0.3264, 0.7706)  10 Au 2.92-3.01, 2 In 3.04
Ag (0.6736, 0.6736, 0.2294)  10 Au 2.92-3.01, 2 In 3.04
Au (0.0035, 0.0035, 0.3324)  3 Ag 2.92-2.93, 8 Au 2.95-3.01, 1 In 2.95
Au (0.3361, 0.3361, 0.1108)  3 In 2.92-2.98, 4 Ag 2.94-3.01, 5 Au 2.98-3.00
Au (0.3357, 0.3357, 0.4458)  9 Au 2.92-2.98, 3 Ag 2.92-2.95
Au (0.6643, 0.6643, 0.5542)  9 Au 2.92-2.98, 3 Ag 2.92-2.95
Au (0.6639, 0.6639, 0.8892)  3 In 2.92-2.98, 4 Ag 2.94-3.01, 5 Au 2.98-3.00
Au (0.9965, 0.9965, 0.6676)  3 Ag 2.92-2.93, 8 Au 2.95-3.01, 1 In 2.95

Computed properties:
- symmetry = C2/m (12)
- energy of formation (eV/atom) = -0.0661
- spin magnetization (Bohr magnetons per cell) = 0.00
- offset from the most stable computed form (eV per atom) = 0.000
- N(E_F) (states/eV/cell) = 2.54